The following is a DFT calculation (GGA-PBE) of a relaxed structure of CeU2N4.

Geometry as POSCAR:
```
CeU2N4
1.0
3.422 0.000 0.000
-1.711 5.697 0.000
0.000 0.000 10.663
N Ce U
8 2 4
direct
0.962 0.923 0.750
0.038 0.077 0.250
0.771 0.541 0.395
0.771 0.541 0.105
0.500 0.000 0.500
0.229 0.459 0.895
0.500 0.000 0.000
0.229 0.459 0.605
0.388 0.777 0.250
0.612 0.223 0.750
0.869 0.738 0.570
0.869 0.738 0.930
0.131 0.262 0.070
0.131 0.262 0.430
```

Properties
The space group is Cmcm (63). The calculation puts the density of states at the Fermi level at 10.94 states/eV/f.u. The value obtained for the uncorrected formation energy is -1.38 eV per atom. The calculated volume comes out at 207.8 Å³ per cell.

=====

The following is a DFT calculation (GGA-PBE) of a relaxed structure of BeFeTc2.

Geometry as POSCAR:
```
BeFeTc2
1.0
-2.996 -0.262 2.171
-0.010 -3.643 -0.453
2.164 -0.372 2.942
Fe Be Tc
1 1 2
direct
0.500 0.000 0.500
0.500 0.500 0.000
0.000 0.500 0.500
0.000 0.000 0.000
```

Properties
The space group is P4/mmm (123). The energy of formation comes out at 0.43 eV per formula unit. The calculation puts the density of states at the Fermi level at 3.72 states/eV/f.u. The calculated volume comes out at 50.0 Å³ per cell.

=====

The following is a DFT calculation (GGA-PBE) of a relaxed structure of La7Pr2Ho2.

Geometry as POSCAR:
```
La7Pr2Ho2
1.0
6.178 -0.513 -0.740
-1.348 8.026 1.347
-1.348 -1.557 7.988
Ho Pr La
2 2 7
direct
0.500 0.785 0.215
0.500 0.215 0.785
0.405 0.773 0.773
0.595 0.227 0.227
0.820 0.047 0.584
0.180 0.953 0.416
0.180 0.416 0.953
0.000 0.000 0.000
0.801 0.575 0.575
0.199 0.425 0.425
0.820 0.584 0.047
```

Properties
The space group is C2/m (12). The energy of formation comes out at 1.21 eV per formula unit. The calculation puts the density of states at the Fermi level at 16.70 states/eV/f.u. The calculated volume comes out at 394.8 Å³ per cell.

=====

The following is a DFT calculation (GGA-PBE) of a relaxed structure of KIn2Pt.

Geometry as POSCAR:
```
KIn2Pt
1.0
4.577 0.000 0.000
0.000 4.587 0.000
0.000 0.000 4.662
In Pt K
2 1 1
direct
0.000 0.000 0.000
0.500 0.500 0.000
0.000 0.500 0.500
0.500 0.000 0.500
```

Properties
The space group is P4/mmm (123). The energy of formation comes out at 0.31 eV per formula unit. The calculation puts the density of states at the Fermi level at 2.09 states/eV/f.u. The calculated volume comes out at 97.9 Å³ per cell.

=====

The following is a DFT calculation (GGA-PBE) of a relaxed structure of PuBiSbO.

Geometry as POSCAR:
```
PuBiSbO
1.0
3.291 0.000 0.000
0.000 3.291 0.000
-1.645 -1.645 8.716
O Sb Pu Bi
1 1 1 1
direct
0.393 0.393 0.785
0.209 0.209 0.418
0.860 0.860 0.720
0.551 0.551 0.101
```

Properties
The space group is I4mm (107). The calculation puts the density of states at the Fermi level at 8.43 states/eV/f.u. The value obtained for the uncorrected formation energy is -1.03 eV per atom. The calculated volume comes out at 94.4 Å³ per cell.

=====

The following is a DFT calculation (GGA-PBE) of a relaxed structure of BeSb2Br.

Geometry as POSCAR:
```
BeSb2Br
1.0
-2.974 0.175 2.662
1.297 -5.022 1.778
3.561 -1.024 4.045
Br Sb Be
1 2 1
direct
0.500 0.750 0.750
0.000 0.418 0.418
0.000 0.082 0.082
0.500 0.250 0.250
```

Properties
The space group is Cmmm (65). The calculation puts the density of states at the Fermi level at 1.21 states/eV/f.u. The value obtained for the uncorrected formation energy is 0.01 eV per atom. The calculated volume comes out at 99.2 Å³ per cell.